Below is a geometry-optimized NaTl5Sb4 structure, with properties calculated at the PBE level.

The volume is 653.63 Å³ per cell. For the electronic total energy, the calculation gives -2.985 eV per atom. For the total moment, the calculation gives 0.00 μB/f.u. The calculation puts the formation energy from raw total energies at -0.02 eV/atom. For the density of states at the Fermi level, the calculation gives 6.0 states/eV/cell.

The structure belongs to space group C2/m (No. 12); the cell edges are 17.673, 4.430 and 9.244 Å and the angles 90.00°, 115.42° and 90.00°. Symmetry generates all atoms from Na at (0.000, 0.000, 0.000), Tl at (0.000, 0.000, 0.500), Tl at (0.164, 0.500, 0.595), Tl at (0.169, 0.500, 0.211), Sb at (0.044, 0.500, 0.791) and Sb at (0.173, 0.000, 0.930).